# VAuO2, optimized geometry, DFT PBE with a Hubbard U
# - SG = P1
# - energy (eV/atom) = -6.35
data_VAuO2
_symmetry_space_group_name_H-M 'P 1'
_symmetry_Int_Tables_number 1
_cell_length_a 2.960
_cell_length_b 4.900
_cell_length_c 10.650
_cell_angle_alpha 87.21
_cell_angle_beta 87.00
_cell_angle_gamma 88.69
loop_
_symmetry_equiv_pos_as_xyz
'x,y,z'
loop_
_atom_site_label
_atom_site_fract_x
_atom_site_fract_y
_atom_site_fract_z
_atom_site_occupancy
V1 0.000 0.000 0.000 1
V2 0.499 0.513 0.160 1
Au1 0.239 0.358 0.583 1
Au2 0.738 0.857 0.587 1
O1 0.027 0.336 0.060 1
O2 0.475 0.375 0.301 1
O3 0.530 0.908 0.913 1
O4 0.995 0.790 0.148 1